Entry 1:
A relaxed structure of ScNb3P. Source: Alexandria, functional PBE.

a b c (Å): 4.7265 4.7265 4.7265
angles (deg): 90.00 90.00 90.00
Closest atoms and distances in Å follow each position.
Element x y z (fractional)
Sc1 0.0000 0.0000 0.0000  6 Nb 2.36
Nb1 0.0000 0.0000 0.5000  2 Sc 2.36
Nb2 0.0000 0.5000 0.0000  2 Sc 2.36
Nb3 0.5000 0.0000 0.0000  2 Sc 2.36
P1 0.5000 0.5000 0.5000  12 Nb 3.34

Output
* final energy: -6.655 eV per atom
* spin magnetization: 0.0 Bohr magnetons per cell
* formation enthalpy at 0 K: 8.68 eV per formula unit
* ΔE to the lowest computed polymorph: 1730 meV/atom

Entry 2:
A relaxed structure of ScNb3P. Source: Alexandria, functional PBE.

a b c (Å): 4.6816 4.6816 4.6816
angles (deg): 90.00 90.00 90.00
Closest atoms and distances in Å follow each position.
Element x y z (fractional)
Sc1 0.0000 0.0000 0.0000  12 Nb 3.31
Nb1 0.0000 0.5000 0.5000  2 P 2.34
Nb2 0.5000 0.0000 0.5000  2 P 2.34
Nb3 0.5000 0.5000 0.0000  2 P 2.34
P1 0.5000 0.5000 0.5000  6 Nb 2.34

Output
* final energy: -8.384 eV per atom
* spin magnetization: 0.0 Bohr magnetons per cell
* formation enthalpy at 0 K: 0.03 eV per formula unit
* ΔE to the lowest computed polymorph: 0 meV/atom